Entry 1:
Here is crystalline NaCrW2 at its relaxed geometry from Alexandria via LeMat-Bulk. Energies are from PBE-GGA.

Cell: 4.411 4.411 4.411 Å, 60.00 60.00 60.00°
Sites, in units of the cell vectors:
W (0.250, 0.250, 0.250)
W (0.750, 0.750, 0.750)
Na (0.000, 0.000, 0.000)
Cr (0.500, 0.500, 0.500)

Energy relative to the elements   1.152 eV per atom
Excess energy over the best structure of this formula in the dataset   0 meV/atom

***

Entry 2:
Here is crystalline NaCrW3 at its relaxed geometry from Alexandria via LeMat-Bulk. Energies are from PBE-GGA.

Cell: 4.587 4.587 4.587 Å, 90.00 90.00 90.00°
Sites, in units of the cell vectors:
W (0.000, 0.000, 0.500)
W (0.500, 0.000, 0.000)
W (0.000, 0.500, 0.000)
Cr (0.000, 0.000, 0.000)
Na (0.500, 0.500, 0.500)

Energy relative to the elements   1.637 eV per atom
Excess energy over the best structure of this formula in the dataset   0 meV/atom

***

Among the records above, which one has the lowest energy relative to the elements? NaCrW2

***

What is the excess energy over the best structure of this formula in the dataset in the first record? 0 meV/atom